A geometry-optimized Er3ScTl5 structure, computed with PBE-GGA.

Computed properties:
total energy	-3.81	eV/atom
volume	473.4	Å³/cell
total moment	0.00	μB/atom
Fermi-level density of states	15.04	states/eV/cell
ΔE_f	-0.266	eV per atom

Cell lengths 9.2039, 9.2039, 6.4530 Å; angles 90.00, 90.00, 120.00 degrees
Last column: nearest neighbours and their distance in Å.
Atoms (fractional coordinates):
Er  0.0000  0.3710  0.2500  9 Tl 3.11-3.33
Er  0.0000  0.6290  0.7500  9 Tl 3.11-3.33
Er  0.3710  0.0000  0.2500  9 Tl 3.11-3.33
Er  0.3710  0.3710  0.7500  9 Tl 3.11-3.33
Er  0.6290  0.0000  0.7500  9 Tl 3.11-3.33
Er  0.6290  0.6290  0.2500  9 Tl 3.11-3.33
Sc  0.0000  0.0000  0.0000  6 Tl 3.12, 2 Sc 3.23
Sc  0.0000  0.0000  0.5000  6 Tl 3.12, 2 Sc 3.23
Tl  0.0000  0.2896  0.7500  5 Er 3.11-3.31, 2 Sc 3.12
Tl  0.0000  0.7104  0.2500  5 Er 3.11-3.31, 2 Sc 3.12
Tl  0.2896  0.0000  0.7500  5 Er 3.11-3.31, 2 Sc 3.12
Tl  0.2896  0.2896  0.2500  5 Er 3.11-3.31, 2 Sc 3.12
Tl  0.3333  0.6667  0.0000  2 Tl 3.23, 6 Er 3.33
Tl  0.3333  0.6667  0.5000  2 Tl 3.23, 6 Er 3.33
Tl  0.6667  0.3333  0.0000  2 Tl 3.23, 6 Er 3.33
Tl  0.6667  0.3333  0.5000  2 Tl 3.23, 6 Er 3.33
Tl  0.7104  0.0000  0.2500  5 Er 3.11-3.31, 2 Sc 3.12
Tl  0.7104  0.7104  0.7500  5 Er 3.11-3.31, 2 Sc 3.12

---

A geometry-optimized Er6Sc12Tl structure, computed with PBE-GGA.

Computed properties:
total energy	-5.45	eV/atom
volume	509.8	Å³/cell
total moment	0.00	μB/atom
Fermi-level density of states	37.42	states/eV/cell
ΔE_f	0.114	eV per atom

Cell lengths 8.0043, 8.0043, 8.0043 Å; angles 93.51, 93.51, 93.51 degrees
Last column: nearest neighbours and their distance in Å.
Atoms (fractional coordinates):
Er  0.2150  0.7645  0.3824  9 Sc 3.13-3.46, 1 Tl 3.34, 2 Er 3.50
Er  0.2355  0.6176  0.7850  9 Sc 3.13-3.46, 1 Tl 3.34, 2 Er 3.50
Er  0.3824  0.2150  0.7645  9 Sc 3.13-3.46, 1 Tl 3.34, 2 Er 3.50
Er  0.6176  0.7850  0.2355  9 Sc 3.13-3.46, 1 Tl 3.34, 2 Er 3.50
Er  0.7645  0.3824  0.2150  9 Sc 3.13-3.46, 1 Tl 3.34, 2 Er 3.50
Er  0.7850  0.2355  0.6176  9 Sc 3.13-3.46, 1 Tl 3.34, 2 Er 3.50
Sc  0.0329  0.9645  0.7142  3 Sc 3.00-3.17, 3 Er 3.13-3.36
Sc  0.0355  0.2858  0.9671  3 Sc 3.00-3.17, 3 Er 3.13-3.36
Sc  0.1304  0.3597  0.4440  4 Sc 3.00-3.28, 1 Tl 3.10, 3 Er 3.30-3.35
Sc  0.2858  0.9671  0.0355  3 Sc 3.00-3.17, 3 Er 3.13-3.36
Sc  0.3597  0.4440  0.1304  4 Sc 3.00-3.28, 1 Tl 3.10, 3 Er 3.30-3.35
Sc  0.4440  0.1304  0.3597  4 Sc 3.00-3.28, 1 Tl 3.10, 3 Er 3.30-3.35
Sc  0.5560  0.8696  0.6403  4 Sc 3.00-3.28, 1 Tl 3.10, 3 Er 3.30-3.35
Sc  0.6403  0.5560  0.8696  4 Sc 3.00-3.28, 1 Tl 3.10, 3 Er 3.30-3.35
Sc  0.7142  0.0329  0.9645  3 Sc 3.00-3.17, 3 Er 3.13-3.36
Sc  0.8696  0.6403  0.5560  4 Sc 3.00-3.28, 1 Tl 3.10, 3 Er 3.30-3.35
Sc  0.9645  0.7142  0.0329  3 Sc 3.00-3.17, 3 Er 3.13-3.36
Sc  0.9671  0.0355  0.2858  3 Sc 3.00-3.17, 3 Er 3.13-3.36
Tl  0.5000  0.5000  0.5000  6 Sc 3.10, 6 Er 3.34

---

A geometry-optimized ErSc2Tl structure, computed with PBE-GGA.

Computed properties:
total energy	-5.09	eV/atom
volume	206.4	Å³/cell
total moment	0.09	μB/atom
Fermi-level density of states	8.94	states/eV/cell
ΔE_f	-0.189	eV per atom

Cell lengths 3.6727, 4.9664, 11.4661 Å; angles 90.00, 99.21, 90.00 degrees
Last column: nearest neighbours and their distance in Å.
Atoms (fractional coordinates):
Er  0.2024  0.2500  0.4053  5 Tl 3.16-3.25, 2 Sc 3.43
Er  0.7976  0.7500  0.5947  5 Tl 3.16-3.25, 2 Sc 3.43
Sc  0.0418  0.7500  0.0842  8 Sc 3.13-3.22, 2 Tl 3.20
Sc  0.4256  0.7500  0.8506  2 Tl 3.11, 6 Sc 3.18-3.22, 2 Er 3.43
Sc  0.5744  0.2500  0.1494  2 Tl 3.11, 6 Sc 3.18-3.22, 2 Er 3.43
Sc  0.9582  0.2500  0.9158  8 Sc 3.13-3.22, 2 Tl 3.20
Tl  0.3427  0.2500  0.6845  4 Sc 3.11-3.20, 5 Er 3.16-3.25
Tl  0.6573  0.7500  0.3155  4 Sc 3.11-3.20, 5 Er 3.16-3.25

---

A geometry-optimized Er2ScTl3 structure, computed with PBE-GGA.

Computed properties:
total energy	-4.05	eV/atom
volume	154.4	Å³/cell
total moment	0.00	μB/atom
Fermi-level density of states	4.88	states/eV/cell
ΔE_f	-0.293	eV per atom

Cell lengths 3.5989, 3.5989, 11.9191 Å; angles 90.00, 90.00, 90.00 degrees
Last column: nearest neighbours and their distance in Å.
Atoms (fractional coordinates):
Er  0.0000  0.0000  0.1716  8 Tl 3.26-3.27, 4 Er 3.60
Er  0.0000  0.0000  0.8284  8 Tl 3.26-3.27, 4 Er 3.60
Sc  0.0000  0.0000  0.5000  8 Tl 3.15
Tl  0.5000  0.5000  0.0000  8 Er 3.26, 4 Tl 3.60
Tl  0.5000  0.5000  0.3437  4 Sc 3.15, 4 Er 3.27
Tl  0.5000  0.5000  0.6563  4 Sc 3.15, 4 Er 3.27

---

A geometry-optimized ErScTl structure, computed with PBE-GGA.

Computed properties:
total energy	-4.63	eV/atom
volume	78.3	Å³/cell
total moment	0.00	μB/atom
Fermi-level density of states	3.71	states/eV/cell
ΔE_f	-0.205	eV per atom

Cell lengths 7.0442, 7.0442, 7.0442 Å; angles 151.73, 151.73, 40.41 degrees
Last column: nearest neighbours and their distance in Å.
Atoms (fractional coordinates):
Er  0.0000  0.0000  0.0000  4 Tl 3.32, 4 Sc 3.37, 4 Er 3.44
Sc  0.6765  0.6765  0.0000  4 Tl 3.16, 4 Er 3.37, 4 Sc 3.44
Tl  0.3292  0.3292  0.0000  4 Sc 3.16, 4 Er 3.32, 4 Tl 3.44

---

A geometry-optimized Er2Sc3Tl2 structure, computed with PBE-GGA.

Computed properties:
total energy	-4.88	eV/atom
volume	179.0	Å³/cell
total moment	0.00	μB/atom
Fermi-level density of states	7.16	states/eV/cell
ΔE_f	-0.192	eV per atom

Cell lengths 5.1663, 5.1663, 8.2962 Å; angles 108.19, 108.19, 60.05 degrees
Last column: nearest neighbours and their distance in Å.
Atoms (fractional coordinates):
Er  0.0734  0.0734  0.2199  4 Tl 3.14-3.35, 3 Sc 3.29, 1 Er 3.40
Er  0.9266  0.9266  0.7801  4 Tl 3.14-3.35, 3 Sc 3.29, 1 Er 3.40
Sc  0.3469  0.3469  0.0408  1 Tl 3.00, 3 Sc 3.05, 3 Er 3.29
Sc  0.5000  0.5000  0.5000  6 Tl 3.21, 2 Sc 3.55
Sc  0.6531  0.6531  0.9592  1 Tl 3.00, 3 Sc 3.05, 3 Er 3.29
Tl  0.2175  0.2175  0.6528  4 Sc 3.00-3.21, 4 Er 3.14-3.35
Tl  0.7825  0.7825  0.3472  4 Sc 3.00-3.21, 4 Er 3.14-3.35

---

A geometry-optimized Er2Sc8Tl structure, computed with PBE-GGA.

Computed properties:
total energy	-5.66	eV/atom
volume	280.3	Å³/cell
total moment	0.01	μB/atom
Fermi-level density of states	18.80	states/eV/cell
ΔE_f	-0.007	eV per atom

Cell lengths 9.1208, 9.1208, 6.3718 Å; angles 93.96, 93.96, 32.02 degrees
Last column: nearest neighbours and their distance in Å.
Atoms (fractional coordinates):
Er  0.2230  0.2230  0.1654  9 Sc 3.18-3.47, 2 Er 3.46
Er  0.7770  0.7770  0.8346  9 Sc 3.18-3.47, 2 Er 3.46
Sc  0.0367  0.0367  0.2353  2 Tl 3.12, 9 Sc 3.18-3.48, 1 Er 3.33
Sc  0.1556  0.1556  0.6644  6 Sc 3.01-3.32, 1 Er 3.32
Sc  0.3391  0.3391  0.5935  1 Tl 2.92, 3 Sc 3.01-3.20, 2 Er 3.18
Sc  0.4108  0.4108  0.0703  1 Tl 3.05, 6 Sc 3.20-3.35, 1 Er 3.39
Sc  0.5892  0.5892  0.9297  1 Tl 3.05, 6 Sc 3.20-3.35, 1 Er 3.39
Sc  0.6609  0.6609  0.4065  1 Tl 2.92, 3 Sc 3.01-3.20, 2 Er 3.18
Sc  0.8444  0.8444  0.3356  6 Sc 3.01-3.32, 1 Er 3.32
Sc  0.9633  0.9633  0.7647  2 Tl 3.12, 9 Sc 3.18-3.48, 1 Er 3.33
Tl  0.5000  0.5000  0.5000  8 Sc 2.92-3.12

---

A geometry-optimized Er5ScTl3 structure, computed with PBE-GGA.

Computed properties:
total energy	-4.27	eV/atom
volume	486.8	Å³/cell
total moment	0.11	μB/atom
Fermi-level density of states	20.29	states/eV/cell
ΔE_f	-0.245	eV per atom

Cell lengths 9.2287, 9.2287, 6.6004 Å; angles 90.00, 90.00, 120.00 degrees
Last column: nearest neighbours and their distance in Å.
Atoms (fractional coordinates):
Er  0.0000  0.3235  0.2500  5 Tl 3.06-3.30, 2 Sc 3.41
Er  0.0000  0.6765  0.7500  5 Tl 3.06-3.30, 2 Sc 3.41
Er  0.3235  0.0000  0.2500  5 Tl 3.06-3.30, 2 Sc 3.41
Er  0.3235  0.3235  0.7500  5 Tl 3.06-3.30, 2 Sc 3.41
Er  0.3333  0.6667  0.0000  8 Er 3.30-3.53, 6 Tl 3.47
Er  0.3333  0.6667  0.5000  8 Er 3.30-3.53, 6 Tl 3.47
Er  0.6667  0.3333  0.0000  8 Er 3.30-3.53, 6 Tl 3.47
Er  0.6667  0.3333  0.5000  8 Er 3.30-3.53, 6 Tl 3.47
Er  0.6765  0.0000  0.7500  5 Tl 3.06-3.30, 2 Sc 3.41
Er  0.6765  0.6765  0.2500  5 Tl 3.06-3.30, 2 Sc 3.41
Sc  0.0000  0.0000  0.0000  2 Sc 3.30, 6 Er 3.41, 6 Tl 3.54
Sc  0.0000  0.0000  0.5000  2 Sc 3.30, 6 Er 3.41, 6 Tl 3.54
Tl  0.0000  0.3392  0.7500  5 Er 3.06-3.30
Tl  0.0000  0.6608  0.2500  5 Er 3.06-3.30
Tl  0.3392  0.0000  0.7500  5 Er 3.06-3.30
Tl  0.3392  0.3392  0.2500  5 Er 3.06-3.30
Tl  0.6608  0.0000  0.2500  5 Er 3.06-3.30
Tl  0.6608  0.6608  0.7500  5 Er 3.06-3.30

---

A geometry-optimized Er6ScTl4 structure, computed with PBE-GGA.

Computed properties:
total energy	-4.06	eV/atom
volume	324.6	Å³/cell
total moment	0.14	μB/atom
Fermi-level density of states	9.84	states/eV/cell
ΔE_f	-0.134	eV per atom

Cell lengths 9.3440, 9.3440, 9.3440 Å; angles 140.70, 140.70, 56.80 degrees
Last column: nearest neighbours and their distance in Å.
Atoms (fractional coordinates):
Er  0.0000  0.5000  0.5000  4 Tl 3.12, 2 Sc 3.14
Er  0.0861  0.0861  0.5303  5 Tl 3.08-3.26
Er  0.4442  0.9139  0.0000  5 Tl 3.08-3.26
Er  0.5000  0.0000  0.5000  4 Tl 3.12, 2 Sc 3.14
Er  0.5558  0.5558  0.4697  5 Tl 3.08-3.26
Er  0.9139  0.4442  0.0000  5 Tl 3.08-3.26
Sc  0.0000  0.0000  0.0000  4 Tl 3.05, 4 Er 3.14
Tl  0.1047  0.6286  0.0000  1 Sc 3.05, 7 Er 3.08-3.26
Tl  0.3714  0.3714  0.4761  1 Sc 3.05, 7 Er 3.08-3.26
Tl  0.6286  0.1047  0.0000  1 Sc 3.05, 7 Er 3.08-3.26
Tl  0.8953  0.8953  0.5239  1 Sc 3.05, 7 Er 3.08-3.26

---

A geometry-optimized Er3ScTl structure, computed with PBE-GGA.

Computed properties:
total energy	-4.50	eV/atom
volume	567.3	Å³/cell
total moment	0.00	μB/atom
Fermi-level density of states	24.63	states/eV/cell
ΔE_f	-0.025	eV per atom

Cell lengths 9.5632, 9.5632, 6.4399 Å; angles 100.74, 100.74, 84.39 degrees
Last column: nearest neighbours and their distance in Å.
Atoms (fractional coordinates):
Er  0.0886  0.7260  0.5222  1 Tl 3.09, 3 Sc 3.20-3.35, 3 Er 3.24-3.42
Er  0.1194  0.5027  0.8528  2 Tl 3.22-3.24, 6 Er 3.24-3.56, 2 Sc 3.45-3.54
Er  0.2277  0.3685  0.3502  2 Sc 3.27-3.47, 3 Tl 3.34-3.66, 6 Er 3.37-3.61
Er  0.2740  0.9114  0.9778  1 Tl 3.09, 3 Sc 3.20-3.35, 3 Er 3.24-3.42
Er  0.3685  0.2277  0.8502  2 Sc 3.27-3.47, 3 Tl 3.34-3.66, 6 Er 3.37-3.61
Er  0.4973  0.8806  0.6472  2 Tl 3.22-3.24, 6 Er 3.24-3.56, 2 Sc 3.45-3.54
Er  0.5027  0.1194  0.3528  2 Tl 3.22-3.24, 6 Er 3.24-3.56, 2 Sc 3.45-3.54
Er  0.6315  0.7723  0.1498  2 Sc 3.27-3.47, 3 Tl 3.34-3.66, 6 Er 3.37-3.61
Er  0.7260  0.0886  0.0222  1 Tl 3.09, 3 Sc 3.20-3.35, 3 Er 3.24-3.42
Er  0.7723  0.6315  0.6498  2 Sc 3.27-3.47, 3 Tl 3.34-3.66, 6 Er 3.37-3.61
Er  0.8806  0.4973  0.1472  2 Tl 3.22-3.24, 6 Er 3.24-3.56, 2 Sc 3.45-3.54
Er  0.9114  0.2740  0.4778  1 Tl 3.09, 3 Sc 3.20-3.35, 3 Er 3.24-3.42
Sc  0.0364  0.1703  0.9501  7 Er 3.20-3.54, 1 Sc 3.38
Sc  0.1703  0.0364  0.4501  7 Er 3.20-3.54, 1 Sc 3.38
Sc  0.8297  0.9636  0.5499  7 Er 3.20-3.54, 1 Sc 3.38
Sc  0.9636  0.8297  0.0499  7 Er 3.20-3.54, 1 Sc 3.38
Tl  0.3294  0.6706  0.2500  6 Er 3.09-3.34, 3 Tl 3.25-3.41
Tl  0.4177  0.5823  0.7500  6 Er 3.24-3.48, 3 Tl 3.25-3.41
Tl  0.5823  0.4177  0.2500  6 Er 3.24-3.48, 3 Tl 3.25-3.41
Tl  0.6706  0.3294  0.7500  6 Er 3.09-3.34, 3 Tl 3.25-3.41